Record 1
Here is a relaxed MnCu2PdAu crystal from the Alexandria database. Energies are from PBE-GGA.

Output
- electronic total energy (eV per cell) = -50.93
- space group = P2_1/m
- ΔE_f (eV per formula unit) = 0.37
- crystal system = monoclinic

Geometry as extended XYZ:
```
10
Lattice="6.555 0.000 0.000 0.000 3.784 0.000 -1.642 0.000 6.424" Properties=species:S:1:pos:R:3 pbc="T T T"
Mn 1.109 0.946 0.637
Mn 3.803 2.838 5.788
Cu 2.037 2.838 3.856
Cu 1.770 0.946 5.533
Cu 3.142 2.838 0.892
Cu 2.875 0.946 2.568
Pd -0.170 2.838 5.326
Pd 5.082 0.946 1.098
Au 0.282 0.946 3.232
Au 4.630 2.838 3.192
```

---

Record 2
Here is a relaxed Ba2ZrFe crystal from the Alexandria database. Energies are from PBE-GGA.

Output
- electronic total energy (eV per cell) = -17.19
- space group = F-43m
- ΔE_f (eV per formula unit) = 3.66
- crystal system = cubic

Geometry as extended XYZ:
```
4
Lattice="0.000 3.937 3.937 3.937 0.000 3.937 3.937 3.937 0.000" Properties=species:S:1:pos:R:3 pbc="T T T"
Ba 0.000 0.000 0.000
Ba 1.968 1.968 1.968
Zr 3.937 3.937 3.937
Fe 5.905 5.905 5.905
```

---

Record 3
Here is a relaxed GaP2CS crystal from the Alexandria database. Energies are from PBE-GGA.

Output
- electronic total energy (eV per cell) = -21.89
- space group = P4/mmm
- crystal system = tetragonal

Geometry as extended XYZ:
```
5
Lattice="4.094 0.000 0.000 0.000 4.094 0.000 0.000 0.000 4.215" Properties=species:S:1:pos:R:3 pbc="T T T"
Ga 0.000 0.000 0.000
P 0.000 2.047 2.107
P 2.047 0.000 2.107
C 2.047 2.047 2.107
S 2.047 2.047 0.000
```

---

Record 4
Here is a relaxed La7NiBr12 crystal from the Alexandria database. Energies are from PBE-GGA.

Output
- electronic total energy (eV per cell) = -93.55
- space group = R-3
- crystal system = trigonal

Geometry as extended XYZ:
```
20
Lattice="7.806 4.507 3.466 -7.806 4.507 3.466 0.000 -9.014 3.466" Properties=species:S:1:pos:R:3 pbc="T T T"
La 0.000 0.000 0.000
La -1.578 -1.675 3.550
La -0.661 2.204 3.550
La 2.239 -0.529 3.550
La -2.239 0.529 6.849
La 0.661 -2.204 6.849
La 1.578 1.675 6.849
Ni 0.000 0.000 5.199
Br -2.484 0.610 1.604
Br 0.714 -2.456 1.604
Br -4.133 -1.106 5.106
Br -1.109 -4.133 5.293
Br 1.770 1.846 1.604
Br -3.025 3.026 5.293
Br 3.025 -3.026 5.106
Br -1.770 -1.846 8.795
Br 1.109 4.133 5.106
Br 4.133 1.106 5.293
Br -0.714 2.456 8.795
Br 2.484 -0.610 8.795
```